Density functional theory data (PBE) for a relaxed RbNa2LiP crystal.

Values from the calculation:
The value obtained for the energy relative to the elements is -0.975 eV/f.u. The total energy is -11.90 eV for the cell shown. The space group is No. 123. As for the density of states at the Fermi level: 0.57 states/eV per atom.

a = 5.7172 Å, b = 5.7172 Å, c = 4.9718 Å
α = 90.00°, β = 90.00°, γ = 90.00°
Element x y z (fractional)
Rb 0.0000 0.0000 0.0000
Na 0.0000 0.5000 0.5000
Na 0.5000 0.0000 0.5000
Li 0.5000 0.5000 0.0000
P 0.5000 0.5000 0.5000